{"formula": "SmZnCdHg", "functional": "GGA-PBE", "state": "relaxed", "formation_enthalpy_0k_ev_per_atom": -0.33, "vol_a3_per_cell": 90, "sg": "F-43m, No. 216", "final_energy_ev_per_atom": -2.13, "total_magnetization_mub_per_atom": 0.000, "lattice": [[-0.664, -1.261, 4.822], [1.475, -4.517, 1.643], [3.966, -0.388, 3.067]], "species": ["Sm", "Cd", "Zn", "Hg"], "frac_coords": [[0.000, 0.000, 0.000], [0.500, 0.500, 0.500], [0.750, 0.750, 0.750], [0.250, 0.250, 0.250]]}